# LiAlHg

An optimized crystal structure of LiAlHg (GGA-PBE, the Alexandria database).

a = 2.9535 Å, b = 2.9535 Å, c = 12.8919 Å
α = 90.00°, β = 90.00°, γ = 90.00°
Last column: nearest neighbours and their distance in Å.
Space group I4mm (No. 107)
One atom of each set of equivalent atoms:
Li1 0.0000 0.0000 0.0000 (multiplicity 2)  4 Hg 2.91, 4 Al 2.93, 4 Li 2.95
Al1 0.0000 0.0000 0.3410 (multiplicity 2)  4 Li 2.93, 4 Al 2.95, 4 Hg 3.15
Hg1 0.0000 0.0000 0.6577 (multiplicity 2)  4 Li 2.91, 4 Hg 2.95, 4 Al 3.15

The calculation puts the total energy at -12.405 eV for the cell shown. The value obtained for the energy above the most stable polymorph in this dataset is 0.078 eV per atom. Its total magnetic moment is 0.000 μB per formula unit. The value obtained for the density of states at the Fermi level is 0.278 states/eV per atom. The value obtained for the energy of formation from the pure elements is -7.85 kJ/mol of atoms.